Density functional theory data (GGA-PBE) for an optimized crystal structure of LiAcY2.

a b c (Å): 3.672 3.672 34.242
angles (deg): 90.00 90.00 120.00
Sites, in units of the cell vectors:
Li: 0.000 0.000 0.000
Li: 0.333 0.667 0.667
Li: 0.667 0.333 0.333
Ac: 0.000 0.000 0.166
Ac: 0.333 0.667 0.833
Ac: 0.667 0.333 0.500
Y: 0.000 0.000 0.409
Y: 0.000 0.000 0.591
Y: 0.333 0.667 0.076
Y: 0.333 0.667 0.257
Y: 0.667 0.333 0.742
Y: 0.667 0.333 0.924

Calculated values
For the density of states at the Fermi level, the calculation gives 1.490 states/eV per atom. The value obtained for the energy of formation is 0.18 eV per atom. Its symmetry is R3m, No. 160. Its mass density is 5.132 g/cm³. For the total energy, the calculation gives -4.558 eV/atom. The calculation puts the polymorph energy (0 for the lowest one) at 88 meV per atom. The calculation puts the volume at 400 Å³ per cell.

---

Density functional theory data (GGA-PBE) for an optimized crystal structure of Co4SnSe8.

a b c (Å): 7.339 7.339 7.339
angles (deg): 60.00 60.00 60.00
Sites, in units of the cell vectors:
Co: 0.381 0.381 0.381
Co: 0.381 0.381 0.858
Co: 0.381 0.858 0.381
Co: 0.858 0.381 0.381
Sn: 0.000 0.000 0.000
Se: 0.145 0.145 0.145
Se: 0.145 0.145 0.565
Se: 0.145 0.565 0.145
Se: 0.180 0.607 0.607
Se: 0.565 0.145 0.145
Se: 0.607 0.180 0.607
Se: 0.607 0.607 0.180
Se: 0.607 0.607 0.607

Calculated values
For the density of states at the Fermi level, the calculation gives 0.979 states/eV per atom. Its symmetry is F-43m, No. 216. The uncorrected formation energy comes out at -0.287 eV per atom. Its mass density is 5.859 g/cm³. For the total energy, the calculation gives -4.925 eV/atom. The calculation puts the volume at 279 Å³ per cell.

---

Density functional theory data (GGA-PBE) for an optimized crystal structure of Ac3AsN5.

a b c (Å): 7.749 7.749 7.749
angles (deg): 125.00 125.00 81.54
Sites, in units of the cell vectors:
Ac: 0.181 0.681 0.862
Ac: 0.250 0.250 0.000
Ac: 0.319 0.181 0.500
Ac: 0.681 0.819 0.500
Ac: 0.750 0.750 0.000
Ac: 0.819 0.319 0.138
As: 0.250 0.750 0.500
As: 0.750 0.250 0.500
N: 0.000 0.000 0.000
N: 0.011 0.791 0.500
N: 0.209 0.709 0.220
N: 0.291 0.511 0.500
N: 0.489 0.989 0.780
N: 0.500 0.500 0.000
N: 0.511 0.011 0.220
N: 0.709 0.489 0.500
N: 0.791 0.291 0.780
N: 0.989 0.209 0.500

Calculated values
For the density of states at the Fermi level, the calculation gives 0.431 states/eV per atom. Its symmetry is I4/mcm, No. 140. The uncorrected formation energy comes out at -0.745 eV per atom. Its mass density is 9.128 g/cm³. For the total energy, the calculation gives -7.256 eV/atom. The calculation puts the volume at 301 Å³ per cell.

---

Density functional theory data (GGA-PBE) for an optimized crystal structure of Cu2PSe4.

a b c (Å): 5.723 5.723 9.929
angles (deg): 90.00 90.00 90.00
Sites, in units of the cell vectors:
Cu: 0.000 0.500 0.250
Cu: 0.000 0.500 0.750
Cu: 0.500 0.000 0.250
Cu: 0.500 0.000 0.750
P: 0.000 0.000 0.000
P: 0.500 0.500 0.500
Se: 0.239 0.239 0.119
Se: 0.239 0.761 0.881
Se: 0.261 0.261 0.619
Se: 0.261 0.739 0.381
Se: 0.739 0.261 0.381
Se: 0.739 0.739 0.619
Se: 0.761 0.239 0.881
Se: 0.761 0.761 0.119

Calculated values
For the density of states at the Fermi level, the calculation gives 1.097 states/eV per atom. Its symmetry is I-42m, No. 121. The uncorrected formation energy comes out at -0.120 eV per atom. Its mass density is 4.839 g/cm³. For the total energy, the calculation gives -4.055 eV/atom. The calculation puts the polymorph energy (0 for the lowest one) at 0 meV per atom. The calculation puts the volume at 325 Å³ per cell.

---

Density functional theory data (GGA-PBE) for an optimized crystal structure of Pm2SmDyH.

a b c (Å): 5.101 5.101 5.064
angles (deg): 90.00 90.00 90.00
Sites, in units of the cell vectors:
Pm: 0.000 0.500 0.000
Pm: 0.500 0.000 0.000
Sm: 0.000 0.000 0.500
Dy: 0.500 0.500 0.500
H: 0.500 0.500 0.000

Calculated values
For the density of states at the Fermi level, the calculation gives 0.916 states/eV per atom. Its symmetry is P4/mmm, No. 123. Its mass density is 7.610 g/cm³. For the total energy, the calculation gives -4.608 eV/atom. The calculation puts the volume at 132 Å³ per cell.

---

Density functional theory data (GGA-PBE) for an optimized crystal structure of NbP2Pd.

a b c (Å): 5.624 5.624 10.500
angles (deg): 90.00 90.00 90.00
Sites, in units of the cell vectors:
Nb: 0.000 0.000 0.000
Nb: 0.000 0.500 0.250
Nb: 0.500 0.000 0.750
Nb: 0.500 0.500 0.500
P: 0.241 0.250 0.625
P: 0.250 0.741 0.875
P: 0.250 0.759 0.375
P: 0.259 0.250 0.125
P: 0.741 0.750 0.125
P: 0.750 0.241 0.375
P: 0.750 0.259 0.875
P: 0.759 0.750 0.625
Pd: 0.000 0.000 0.500
Pd: 0.000 0.500 0.750
Pd: 0.500 0.000 0.250
Pd: 0.500 0.500 0.000

Calculated values
For the density of states at the Fermi level, the calculation gives 0.764 states/eV per atom. The value obtained for the energy of formation is -0.17 eV per atom. Its symmetry is I-42d, No. 122. Its mass density is 5.226 g/cm³. For the total energy, the calculation gives -6.693 eV/atom. The calculation puts the volume at 332 Å³ per cell.

---

- What is the mass density in the third record?
  9.128 g/cm³